--- one ---
This record from the Alexandria database describes TlPBr4 after structural relaxation. The functional is PBE.

abc: 9.583 9.270 11.611
angles: 90.00 109.20 90.00
Positions (direct):
Tl 0.119 0.133 0.406
Tl 0.119 0.367 0.906
Tl 0.881 0.633 0.094
Tl 0.881 0.867 0.594
P 0.401 0.609 0.630
P 0.401 0.891 0.130
P 0.599 0.109 0.870
P 0.599 0.391 0.370
Br 0.075 0.142 0.667
Br 0.075 0.358 0.167
Br 0.215 0.643 0.707
Br 0.215 0.857 0.207
Br 0.275 0.523 0.443
Br 0.275 0.977 0.943
Br 0.448 0.660 0.088
Br 0.448 0.840 0.588
Br 0.552 0.160 0.412
Br 0.552 0.340 0.912
Br 0.725 0.023 0.057
Br 0.725 0.477 0.557
Br 0.785 0.143 0.793
Br 0.785 0.357 0.293
Br 0.925 0.642 0.833
Br 0.925 0.858 0.333

Output
**Magnetic moment**: 0.0 μB per cell
**Space-group type**: P2_1/c, No. 14



--- two ---
This record from the Alexandria database describes TlPBr4 after structural relaxation. The functional is PBE.

abc: 6.444 6.444 6.444
angles: 60.00 60.00 60.00
Positions (direct):
Tl 0.000 0.000 0.000
P 0.250 0.250 0.250
Br 0.125 0.625 0.625
Br 0.625 0.125 0.625
Br 0.625 0.625 0.125
Br 0.625 0.625 0.625

Output
**Magnetic moment**: 2.2 μB per cell
**Space-group type**: F-43m, No. 216



one is favored, and the nearest alternative lies 1087 meV per atom above it.



--- one ---
This record from the Alexandria database describes TlPBr3 after structural relaxation. The functional is PBE.

abc: 5.283 5.283 5.283
angles: 90.00 90.00 90.00
Positions (direct):
Tl 0.000 0.000 0.000
P 0.500 0.500 0.500
Br 0.000 0.500 0.500
Br 0.500 0.000 0.500
Br 0.500 0.500 0.000

Output
**Magnetic moment**: 0.0 μB per cell
**Space-group type**: Pm-3m, No. 221



--- two ---
This record from the Alexandria database describes TlPBr3 after structural relaxation. The functional is PBE.

abc: 5.658 5.658 5.658
angles: 90.00 90.00 90.00
Positions (direct):
Tl 0.000 0.000 0.000
P 0.500 0.500 0.500
Br 0.000 0.000 0.500
Br 0.000 0.500 0.000
Br 0.500 0.000 0.000

Output
**Magnetic moment**: 2.6 μB per cell
**Space-group type**: Pm-3m, No. 221



one is favored, and the nearest alternative lies 703 meV per atom above it.